# 1
Density functional theory data (PBE) for a relaxed structure of LiTcAsRh2.

electronic total energy = -5.63 eV/atom
DFT formation energy = 0.69 eV per atom
SG = P4/mmm
D(E_F) = 4.101 states/eV per cell
spin magnetization = 0.0 Bohr magnetons per cell

a = 4.742 Å, b = 4.714 Å, c = 4.742 Å
α = 90.00°, β = 90.00°, γ = 90.00°
Fractional coordinates of all 5 atoms:
As1 0.000 0.500 0.000
Tc1 0.000 0.000 0.000
Rh1 0.000 0.000 0.500
Rh2 0.500 0.000 0.000
Li1 0.500 0.500 0.500

=====

# 2
Density functional theory data (PBE) for a relaxed structure of TbTi2Cr.

electronic total energy = -7.07 eV/atom
offset from the most stable computed form = 0.281 eV per atom
DFT formation energy = 0.44 eV per atom
SG = R-3m
D(E_F) = 5.893 states/eV per cell
spin magnetization = 0.0 Bohr magnetons per cell

a = 3.025 Å, b = 3.025 Å, c = 9.918 Å
α = 81.23°, β = 81.23°, γ = 60.00°
Fractional coordinates of all 4 atoms:
Ti1 0.105 0.105 0.686
Ti2 0.895 0.895 0.314
Cr1 0.500 0.500 0.500
Tb1 0.000 0.000 0.000

=====

# 3
Density functional theory data (PBE) for a relaxed structure of Na2SbCl6.

electronic total energy = -3.16 eV/atom
offset from the most stable computed form = 0.020 eV per atom
SG = P4_2/mnm
uncorrected formation energy = -1.18 eV/atom
D(E_F) = 11.863 states/eV per cell
spin magnetization = 0.0 Bohr magnetons per cell

a = 6.473 Å, b = 6.473 Å, c = 12.345 Å
α = 90.00°, β = 90.00°, γ = 90.00°
Fractional coordinates of all 18 atoms:
Cl1 0.779 0.221 0.500
Cl2 0.311 0.311 0.652
Cl3 0.189 0.811 0.848
Cl4 0.689 0.689 0.652
Cl5 0.279 0.279 0.000
Cl6 0.189 0.811 0.152
Cl7 0.811 0.189 0.848
Cl8 0.311 0.311 0.348
Cl9 0.689 0.689 0.348
Cl10 0.721 0.721 0.000
Cl11 0.811 0.189 0.152
Cl12 0.221 0.779 0.500
Sb1 0.000 0.000 0.000
Sb2 0.500 0.500 0.500
Na1 0.000 0.000 0.334
Na2 0.500 0.500 0.166
Na3 0.500 0.500 0.834
Na4 0.000 0.000 0.666

=====

# 4
Density functional theory data (PBE) for a relaxed structure of MgTc2Pt.

electronic total energy = -7.18 eV/atom
DFT formation energy = -0.09 eV per atom
SG = I4/mmm
D(E_F) = 3.280 states/eV per cell
spin magnetization = 0.0 Bohr magnetons per cell

a = 5.074 Å, b = 5.074 Å, c = 5.074 Å
α = 136.78°, β = 136.78°, γ = 62.78°
Fractional coordinates of all 4 atoms:
Mg1 0.250 0.750 0.500
Tc1 0.000 0.000 0.000
Tc2 0.500 0.500 0.000
Pt1 0.750 0.250 0.500